No. 1
A plane-wave DFT calculation with PBE-GGA was carried out for a relaxed NaGa2Pd3 crystal.

a = 5.7591 Å, b = 5.7591 Å, c = 3.9158 Å
α = 90.00°, β = 90.00°, γ = 120.00°
Closest atoms and distances in Å follow each position.
Space group P6/mmm (No. 191)
One atom of each set of equivalent atoms:
Na  0.0000  0.0000  0.0000 x1  6 Pd 2.88
Ga  0.3333  0.6667  0.5000 x2  6 Pd 2.57
Pd  0.0000  0.5000  0.0000 x3  4 Ga 2.57

Values from the calculation:
The electronic total energy is -4.32 eV/atom. For the energy relative to the lowest polymorph listed for this composition, the calculation gives 43.5 meV/atom. The density of states at the Fermi level is 2.0 states/eV/f.u. The total magnetic moment comes out at 0.000 μB/atom. The value obtained for the formation energy from the elements is -498 meV per atom.

No. 2
A plane-wave DFT calculation with PBE-GGA was carried out for a relaxed Na2Ga4Pd crystal.

a = 4.5217 Å, b = 21.4820 Å, c = 3.2036 Å
α = 90.00°, β = 90.00°, γ = 90.00°
Closest atoms and distances in Å follow each position.
Space group Cmmm (No. 65)
One atom of each set of equivalent atoms:
Na  0.0000  0.1944  0.0000 x4  4 Ga 3.01-3.22, 4 Na 3.20-3.29
Ga  0.0000  0.0645  0.5000 x4  2 Pd 2.65, 5 Ga 2.77-2.88
Ga  0.0000  0.3982  0.0000 x4  2 Pd 2.71, 4 Ga 2.88, 2 Na 3.01
Pd  0.0000  0.5000  0.5000 x2  8 Ga 2.65-2.71

Values from the calculation:
The electronic total energy is -2.97 eV/atom. The density of states at the Fermi level is 2.9 states/eV/f.u. The total magnetic moment comes out at 0.000 μB/atom. The value obtained for the formation energy from the elements is -120 meV per atom.

No. 3
A plane-wave DFT calculation with PBE-GGA was carried out for a relaxed NaGaPd crystal.

a = 4.1848 Å, b = 4.1848 Å, c = 7.1139 Å
α = 90.00°, β = 90.00°, γ = 90.00°
Closest atoms and distances in Å follow each position.
Space group P4/nmm (No. 129, origin choice 2)
One atom of each set of equivalent atoms:
Na  0.2500  0.2500  0.1573 x2  5 Ga 3.12-3.22, 4 Pd 3.21
Ga  0.2500  0.2500  0.7045 x2  4 Pd 2.55
Pd  0.2500  0.7500  0.5000 x2  4 Ga 2.55

Values from the calculation:
The electronic total energy is -3.59 eV/atom. The density of states at the Fermi level is 0.7 states/eV/f.u. The total magnetic moment comes out at 0.000 μB/atom. The value obtained for the formation energy from the elements is -406 meV per atom.

Q: electronic total energy of number 1 (NaGa2Pd3)?
A: -4.32 eV/atom

Q: Which of these has the highest density of states at the Fermi level?
A: Na2Ga4Pd